Entry from the Alexandria database: a relaxed Mn2In2O7 crystal (PBE with a Hubbard U).

a = 6.9933 Å, b = 6.9933 Å, c = 6.9933 Å
α = 60.00°, β = 60.00°, γ = 60.00°
Last column: nearest neighbours and their distance in Å.
Positions (direct):
Mn1 0.5000 0.0000 0.0000  6 O 1.93
Mn2 0.0000 0.0000 0.5000  6 O 1.93
Mn3 0.0000 0.5000 0.0000  6 O 1.93
Mn4 0.0000 0.0000 0.0000  6 O 1.93
O1 0.0822 0.6678 0.6678  2 Mn 1.93
O2 0.6678 0.6678 0.0822  2 Mn 1.93
O3 0.3322 0.3322 0.9178  2 Mn 1.93
O4 0.0822 0.6678 0.0822  2 Mn 1.93
O5 0.9178 0.3322 0.3322  2 Mn 1.93
O6 0.3322 0.9178 0.3322  2 Mn 1.93
O7 0.3750 0.3750 0.3750  4 In 2.14
O8 0.9178 0.9178 0.3322  2 Mn 1.93
O9 0.0822 0.0822 0.6678  2 Mn 1.93
O10 0.6678 0.0822 0.0822  2 Mn 1.93
O11 0.9178 0.3322 0.9178  2 Mn 1.93
O12 0.6250 0.6250 0.6250  4 In 2.14
O13 0.6678 0.0822 0.6678  2 Mn 1.93
O14 0.3322 0.9178 0.9178  2 Mn 1.93
In1 0.5000 0.0000 0.5000  2 O 2.14
In2 0.5000 0.5000 0.0000  2 O 2.14
In3 0.5000 0.5000 0.5000  2 O 2.14
In4 0.0000 0.5000 0.5000  2 O 2.14

Calculated values
symmetry: Fd-3m (227)
E: -142.22 eV for the cell shown
magnetization: 12.0 μB per cell